# 1
Here is a geometry-optimized TeOs structure from the Alexandria database. Energies are from PBE.

For the total energy, the calculation gives -79.85 eV for the cell shown. For the volume, the calculation gives 57.9 Å³/f.u.

It has space group P6_3/m (No. 176), with a = 9.8517 Å, b = 9.8517 Å, c = 4.1302 Å, α = 90.00°, β = 90.00° and γ = 120.00°. Symmetry generates all atoms from Te at (0.1278, 0.3788, 0.2500) and Os at (0.0221, 0.5812, 0.2500).

# 2
Here is a geometry-optimized TeOs structure from the Alexandria database. Energies are from PBE.

For the total energy, the calculation gives -77.51 eV for the cell shown. For the volume, the calculation gives 48.3 Å³/f.u.

It has space group Pmmn (No. 59, origin choice 2), with a = 3.167 Å, b = 13.624 Å, c = 6.719 Å, α = 90.00°, β = 90.00° and γ = 90.00°. Symmetry generates all atoms from Te at (0.250, 0.097, 0.182), Te at (0.250, 0.750, 0.341), Os at (0.250, 0.250, 0.966) and Os at (0.250, 0.574, 0.511).

# 3
Here is a geometry-optimized TeOs structure from the Alexandria database. Energies are from PBE.

For the total energy, the calculation gives -81.16 eV for the cell shown. For the volume, the calculation gives 47.0 Å³/f.u.

It has space group R-3m (No. 166, hexagonal axes), with a = 4.0182 Å, b = 4.0182 Å, c = 20.1719 Å, α = 90.00°, β = 90.00° and γ = 120.00°. Symmetry generates all atoms from Te at (0.0000, 0.0000, 0.0977) and Os at (0.0000, 0.0000, 0.3541).